{"formula": "Ba2HgSe", "functional": "GGA-PBE", "state": "optimized geometry", "cell": [[-6.740, 0.399, -5.615], [3.290, -6.827, -4.435], [-4.096, -6.073, -2.382]], "species": ["Hg", "Hg", "Se", "Se", "Ba", "Ba", "Ba", "Ba"], "frac_coords": [[0.000, 0.000, 0.000], [0.750, 0.250, 0.500], [0.500, 0.500, 0.000], [0.250, 0.750, 0.500], [0.599, 0.125, 0.250], [0.151, 0.625, 0.250], [0.375, 0.401, 0.750], [0.875, 0.849, 0.750]], "formation_energy_uncorrected_kj_per_mol_atoms": -95.86, "final_energy_ev_per_fu": -11.61, "vol_a3_per_cell": 351.5, "relative_energy_ev_per_atom": 0.153, "sg": "I-42d (122)"}

{"formula": "GaBrF2", "functional": "GGA-PBE", "state": "optimized geometry", "cell": [[6.051, 0.000, 0.000], [0.000, 6.051, 0.000], [3.026, 3.026, 4.344]], "species": ["Ga", "Ga", "Br", "Br", "F", "F", "F", "F"], "frac_coords": [[0.500, 0.500, 0.000], [0.250, 0.750, 0.500], [0.000, 0.000, 0.000], [0.750, 0.250, 0.500], [0.375, 0.125, 0.250], [0.375, 0.625, 0.250], [0.375, 0.625, 0.750], [0.875, 0.625, 0.750]], "formation_energy_uncorrected_kj_per_mol_atoms": -142.48, "final_energy_ev_per_fu": -14.35, "vol_a3_per_cell": 159.1, "relative_energy_ev_per_atom": 0.000, "sg": "I4_1/amd (141)"}

- Which formula does entry 2 have?
  GaBrF2

What did the first record say?
{"formula": "Ba2HgSe", "functional": "GGA-PBE", "state": "optimized geometry", "cell": [[-6.740, 0.399, -5.615], [3.290, -6.827, -4.435], [-4.096, -6.073, -2.382]], "species": ["Hg", "Hg", "Se", "Se", "Ba", "Ba", "Ba", "Ba"], "frac_coords": [[0.000, 0.000, 0.000], [0.750, 0.250, 0.500], [0.500, 0.500, 0.000], [0.250, 0.750, 0.500], [0.599, 0.125, 0.250], [0.151, 0.625, 0.250], [0.375, 0.401, 0.750], [0.875, 0.849, 0.750]], "formation_energy_uncorrected_kj_per_mol_atoms": -95.86, "final_energy_ev_per_fu": -11.61, "vol_a3_per_cell": 351.5, "relative_energy_ev_per_atom": 0.153, "sg": "I-42d (122)"}